# TlCrCoF6, relaxed, DFT PBE+U
data_TlCrCoF6
_cell_length_a 7.328
_cell_length_b 7.417
_cell_length_c 10.587
_cell_angle_alpha 90.00
_cell_angle_beta 90.00
_cell_angle_gamma 90.00
_symmetry_space_group_name_H-M 'I m m a'
_symmetry_Int_Tables_number 74
_symmetry_space_group_name_Hall '-I 2b 2'
loop_
_atom_site_label
_atom_site_fract_x
_atom_site_fract_y
_atom_site_fract_z
_atom_site_occupancy
Tl1 0.000 0.250 0.088 1
Cr1 0.000 0.000 0.500 1
Co1 0.250 0.250 0.750 1
F1 0.000 0.250 0.438 1
F2 0.000 0.250 0.830 1
F3 0.192 0.050 0.621 1
# total energy = -5.273 eV per atom
# magnetic moment = 24.0 μB/cell